(1)
DFT (PBE-GGA) results for a relaxed structure of Al3Ge5Au12.

abc: 13.101 13.101 13.101
angles: 109.47 109.47 109.47
Element x y z (fractional)
Al 0.125 0.250 0.375
Al 0.125 0.375 0.750
Al 0.250 0.375 0.125
Al 0.250 0.875 0.625
Al 0.375 0.125 0.250
Al 0.375 0.750 0.125
Al 0.625 0.250 0.875
Al 0.625 0.875 0.750
Al 0.750 0.125 0.375
Al 0.750 0.625 0.875
Al 0.875 0.625 0.250
Al 0.875 0.750 0.625
Ge 0.000 0.000 0.000
Ge 0.000 0.000 0.500
Ge 0.000 0.500 0.000
Ge 0.000 0.500 0.500
Ge 0.125 0.750 0.875
Ge 0.125 0.875 0.250
Ge 0.250 0.125 0.875
Ge 0.250 0.625 0.375
Ge 0.375 0.250 0.625
Ge 0.375 0.625 0.750
Ge 0.500 0.000 0.000
Ge 0.500 0.000 0.500
Ge 0.500 0.500 0.000
Ge 0.500 0.500 0.500
Ge 0.625 0.375 0.250
Ge 0.625 0.750 0.375
Ge 0.750 0.375 0.625
Ge 0.750 0.875 0.125
Ge 0.875 0.125 0.750
Ge 0.875 0.250 0.125
Au 0.063 0.230 0.136
Au 0.063 0.333 0.928
Au 0.072 0.636 0.406
Au 0.072 0.937 0.667
Au 0.094 0.730 0.667
Au 0.094 0.864 0.428
Au 0.136 0.063 0.230
Au 0.136 0.572 0.906
Au 0.167 0.230 0.594
Au 0.167 0.437 0.572
Au 0.230 0.136 0.063
Au 0.230 0.594 0.167
Au 0.270 0.333 0.906
Au 0.270 0.437 0.364
Au 0.333 0.906 0.270
Au 0.333 0.928 0.063
Au 0.364 0.270 0.437
Au 0.364 0.594 0.928
Au 0.406 0.072 0.636
Au 0.406 0.833 0.770
Au 0.428 0.094 0.864
Au 0.428 0.833 0.563
Au 0.437 0.364 0.270
Au 0.437 0.572 0.167
Au 0.563 0.428 0.833
Au 0.563 0.636 0.730
Au 0.572 0.167 0.437
Au 0.572 0.906 0.136
Au 0.594 0.167 0.230
Au 0.594 0.928 0.364
Au 0.636 0.406 0.072
Au 0.636 0.730 0.563
Au 0.667 0.072 0.937
Au 0.667 0.094 0.730
Au 0.730 0.563 0.636
Au 0.730 0.667 0.094
Au 0.770 0.406 0.833
Au 0.770 0.864 0.937
Au 0.833 0.563 0.428
Au 0.833 0.770 0.406
Au 0.864 0.428 0.094
Au 0.864 0.937 0.770
Au 0.906 0.136 0.572
Au 0.906 0.270 0.333
Au 0.928 0.063 0.333
Au 0.928 0.364 0.594
Au 0.937 0.667 0.072
Au 0.937 0.770 0.864

Results
The calculation puts the energy relative to the elements at 0.155 eV/f.u. Its spin magnetization is 0.0 μB/f.u. Its crystal system is cubic. The density is 10.77 g/cm3.

***

(2)
DFT (PBE-GGA) results for a relaxed structure of Al2GeAu2.

abc: 8.028 8.028 2.784
angles: 90.00 90.00 90.00
Element x y z (fractional)
Al 0.132 0.368 0.000
Al 0.368 0.868 0.000
Al 0.632 0.132 0.000
Al 0.868 0.632 0.000
Ge 0.000 0.000 0.500
Ge 0.500 0.500 0.500
Au 0.166 0.666 0.500
Au 0.334 0.166 0.500
Au 0.666 0.834 0.500
Au 0.834 0.334 0.500

Results
The calculation puts the energy relative to the elements at -0.739 eV/f.u. The value obtained for the energy above the lowest structure with this stoichiometry is 0 meV per atom. Its spin magnetization is 0.0 μB/f.u. Its crystal system is tetragonal. The density is 9.63 g/cm3.

***

(3)
DFT (PBE-GGA) results for a relaxed structure of AlGeAu2.

abc: 6.610 6.610 6.610
angles: 90.00 90.00 90.00
Element x y z (fractional)
Al 0.000 0.000 0.000
Al 0.000 0.500 0.500
Al 0.500 0.000 0.500
Al 0.500 0.500 0.000
Ge 0.000 0.000 0.500
Ge 0.000 0.500 0.000
Ge 0.500 0.000 0.000
Ge 0.500 0.500 0.500
Au 0.250 0.250 0.250
Au 0.250 0.250 0.750
Au 0.250 0.750 0.250
Au 0.250 0.750 0.750
Au 0.750 0.250 0.250
Au 0.750 0.250 0.750
Au 0.750 0.750 0.250
Au 0.750 0.750 0.750

Results
The calculation puts the energy relative to the elements at 0.034 eV/f.u. The value obtained for the energy above the lowest structure with this stoichiometry is 138 meV per atom. Its spin magnetization is 0.0 μB/f.u. Its crystal system is cubic. The density is 11.35 g/cm3.

***

(4)
DFT (PBE-GGA) results for a relaxed structure of Al2GeAu2.

abc: 3.998 3.998 12.012
angles: 90.00 90.00 90.00
Element x y z (fractional)
Al 0.000 0.500 0.250
Al 0.000 0.500 0.750
Al 0.500 0.000 0.250
Al 0.500 0.000 0.750
Ge 0.000 0.000 0.000
Ge 0.500 0.500 0.500
Au 0.000 0.000 0.385
Au 0.000 0.000 0.615
Au 0.500 0.500 0.115
Au 0.500 0.500 0.885

Results
The calculation puts the energy relative to the elements at -0.567 eV/f.u. The value obtained for the energy above the lowest structure with this stoichiometry is 35 meV per atom. Its spin magnetization is 0.0 μB/f.u. Its crystal system is tetragonal. The density is 9.01 g/cm3.

***

(5)
DFT (PBE-GGA) results for a relaxed structure of AlGe2Au.

abc: 2.956 2.956 30.137
angles: 90.00 90.00 120.00
Element x y z (fractional)
Al 0.000 0.000 0.000
Al 0.333 0.667 0.667
Al 0.667 0.333 0.333
Ge 0.000 0.000 0.090
Ge 0.000 0.000 0.910
Ge 0.333 0.667 0.577
Ge 0.333 0.667 0.756
Ge 0.667 0.333 0.244
Ge 0.667 0.333 0.423
Au 0.000 0.000 0.500
Au 0.333 0.667 0.167
Au 0.667 0.333 0.833

Results
The calculation puts the energy relative to the elements at 0.812 eV/f.u. Its spin magnetization is 0.0 μB/f.u. Its crystal system is trigonal. The density is 8.07 g/cm3.

***

(6)
DFT (PBE-GGA) results for a relaxed structure of AlGeAu2.

abc: 3.239 3.239 24.350
angles: 90.00 90.00 120.00
Element x y z (fractional)
Al 0.000 0.000 0.000
Al 0.333 0.667 0.667
Al 0.667 0.333 0.333
Ge 0.000 0.000 0.167
Ge 0.333 0.667 0.834
Ge 0.667 0.333 0.500
Au 0.000 0.000 0.410
Au 0.000 0.000 0.590
Au 0.333 0.667 0.077
Au 0.333 0.667 0.257
Au 0.667 0.333 0.744
Au 0.667 0.333 0.923

Results
The calculation puts the energy relative to the elements at -0.377 eV/f.u. The value obtained for the energy above the lowest structure with this stoichiometry is 35 meV per atom. Its spin magnetization is 0.0 μB/f.u. Its crystal system is trigonal. The density is 11.11 g/cm3.

***

(7)
DFT (PBE-GGA) results for a relaxed structure of AlGe2Au.

abc: 3.892 3.892 19.975
angles: 90.00 90.00 90.00
Element x y z (fractional)
Al 0.000 0.000 0.000
Al 0.000 0.500 0.250
Al 0.500 0.000 0.750
Al 0.500 0.500 0.500
Ge 0.243 0.250 0.625
Ge 0.250 0.743 0.875
Ge 0.250 0.757 0.375
Ge 0.257 0.250 0.125
Ge 0.743 0.750 0.125
Ge 0.750 0.243 0.375
Ge 0.750 0.257 0.875
Ge 0.757 0.750 0.625
Au 0.000 0.000 0.500
Au 0.000 0.500 0.750
Au 0.500 0.000 0.250
Au 0.500 0.500 0.000

Results
The calculation puts the energy relative to the elements at 0.257 eV/f.u. Its spin magnetization is 0.0 μB/f.u. Its crystal system is tetragonal. The density is 8.10 g/cm3.

***

(8)
DFT (PBE-GGA) results for a relaxed structure of AlGeAu2.

abc: 3.103 3.103 7.483
angles: 90.00 90.00 90.00
Element x y z (fractional)
Al 0.000 0.000 0.000
Ge 0.000 0.000 0.500
Au 0.500 0.500 0.217
Au 0.500 0.500 0.783

Results
The calculation puts the energy relative to the elements at -0.409 eV/f.u. The value obtained for the energy above the lowest structure with this stoichiometry is 28 meV per atom. Its spin magnetization is 0.0 μB/f.u. Its crystal system is tetragonal. The density is 11.37 g/cm3.